*1*
# ScSeO2 | Alexandria via LeMat-Bulk | PBE | optimized geometry
data_ScSeO2
_chemical_formula_sum 'Sc3 Se3 O6'
_cell_length_a 3.2284
_cell_length_b 3.2284
_cell_length_c 18.6109
_cell_angle_alpha 90.00
_cell_angle_beta 90.00
_cell_angle_gamma 120.00
_symmetry_space_group_name_H-M 'R -3 m'
_symmetry_Int_Tables_number 166
_symmetry_space_group_name_Hall '-R 3 2"'
loop_
_atom_site_label
_atom_site_fract_x
_atom_site_fract_y
_atom_site_fract_z
Sc1 0.0000 0.0000 0.0000
Se1 0.0000 0.0000 0.5000
O1 0.0000 0.0000 0.3880
# - Density: 4.62 Mg/m³
# - DOS at the Fermi energy: 0.291 states/eV per atom
# - V: 168 Å³/cell

*2*
# ScSeO2 | Alexandria via LeMat-Bulk | PBE | optimized geometry
data_ScSeO2
_chemical_formula_sum 'Sc4 Se4 O8'
_cell_length_a 5.797
_cell_length_b 5.797
_cell_length_c 5.797
_cell_angle_alpha 90.00
_cell_angle_beta 90.00
_cell_angle_gamma 90.00
_symmetry_space_group_name_H-M 'F m -3 m'
_symmetry_Int_Tables_number 225
_symmetry_space_group_name_Hall '-F 4 2 3'
loop_
_atom_site_label
_atom_site_fract_x
_atom_site_fract_y
_atom_site_fract_z
Sc1 0.000 0.000 0.000
Se1 0.000 0.000 0.500
O1 0.250 0.250 0.250
# - Density: 5.31 Mg/m³
# - DOS at the Fermi energy: 0.705 states/eV per atom
# - V: 195 Å³/cell

*3*
# ScSeO2 | Alexandria via LeMat-Bulk | PBE | optimized geometry
data_ScSeO2
_chemical_formula_sum 'Sc3 Se3 O6'
_cell_length_a 3.6845
_cell_length_b 3.6845
_cell_length_c 16.0800
_cell_angle_alpha 90.00
_cell_angle_beta 90.00
_cell_angle_gamma 120.00
_symmetry_space_group_name_H-M 'R -3 m'
_symmetry_Int_Tables_number 166
_symmetry_space_group_name_Hall '-R 3 2"'
loop_
_atom_site_label
_atom_site_fract_x
_atom_site_fract_y
_atom_site_fract_z
Sc1 0.0000 0.0000 0.0000
Se1 0.0000 0.0000 0.5000
O1 0.0000 0.0000 0.1233
# - Density: 4.11 Mg/m³
# - DOS at the Fermi energy: 0.407 states/eV per atom
# - V: 189 Å³/cell

The relative energies come out as *1* 0.000; *2* 1.178; *3* 1.438, with values in eV/atom.

*1*
# ZrScSe2O | Alexandria via LeMat-Bulk | PBE | optimized geometry
data_ZrScSe2O
_chemical_formula_sum 'Zr1 Sc1 Se2 O1'
_cell_length_a 5.320
_cell_length_b 5.320
_cell_length_c 3.957
_cell_angle_alpha 90.00
_cell_angle_beta 90.00
_cell_angle_gamma 90.00
_symmetry_space_group_name_H-M 'P 4/m m m'
_symmetry_Int_Tables_number 123
_symmetry_space_group_name_Hall '-P 4 2'
loop_
_atom_site_label
_atom_site_fract_x
_atom_site_fract_y
_atom_site_fract_z
Zr1 0.000 0.000 0.000
Sc1 0.500 0.500 0.500
Se1 0.000 0.500 0.000
O1 0.000 0.000 0.500
# - Density: 4.60 Mg/m³
# - DOS at the Fermi energy: 0.546 states/eV per atom
# - V: 112 Å³/cell

*2*
# ZrScSe2O | Alexandria via LeMat-Bulk | PBE | optimized geometry
data_ZrScSe2O
_chemical_formula_sum 'Zr1 Sc1 Se2 O1'
_cell_length_a 5.018
_cell_length_b 5.018
_cell_length_c 3.775
_cell_angle_alpha 90.00
_cell_angle_beta 90.00
_cell_angle_gamma 90.00
_symmetry_space_group_name_H-M 'P 4/m m m'
_symmetry_Int_Tables_number 123
_symmetry_space_group_name_Hall '-P 4 2'
loop_
_atom_site_label
_atom_site_fract_x
_atom_site_fract_y
_atom_site_fract_z
Zr1 0.000 0.000 0.000
Sc1 0.500 0.500 0.000
Se1 0.000 0.500 0.500
O1 0.500 0.500 0.500
# - Density: 5.42 Mg/m³
# - DOS at the Fermi energy: 0.536 states/eV per atom
# - V: 95 Å³/cell

The relative energies come out as *1* 0.000; *2* 0.558, with values in eV/atom.

*1*
# ScSi3O | Alexandria via LeMat-Bulk | PBE | optimized geometry
data_ScSi3O
_chemical_formula_sum 'Sc1 Si3 O1'
_cell_length_a 5.060
_cell_length_b 5.060
_cell_length_c 5.060
_cell_angle_alpha 90.00
_cell_angle_beta 90.00
_cell_angle_gamma 90.00
_symmetry_space_group_name_H-M 'P m -3 m'
_symmetry_Int_Tables_number 221
_symmetry_space_group_name_Hall '-P 4 2 3'
loop_
_atom_site_label
_atom_site_fract_x
_atom_site_fract_y
_atom_site_fract_z
Sc1 0.000 0.000 0.000
Si1 0.000 0.000 0.500
O1 0.500 0.500 0.500
# - Density: 1.86 Mg/m³
# - DOS at the Fermi energy: 1.116 states/eV per atom
# - V: 130 Å³/cell

*2*
# ScSi3O | Alexandria via LeMat-Bulk | PBE | optimized geometry
data_ScSi3O
_chemical_formula_sum 'Sc1 Si3 O1'
_cell_length_a 4.169
_cell_length_b 4.169
_cell_length_c 4.169
_cell_angle_alpha 90.00
_cell_angle_beta 90.00
_cell_angle_gamma 90.00
_symmetry_space_group_name_H-M 'P m -3 m'
_symmetry_Int_Tables_number 221
_symmetry_space_group_name_Hall '-P 4 2 3'
loop_
_atom_site_label
_atom_site_fract_x
_atom_site_fract_y
_atom_site_fract_z
Sc1 0.000 0.000 0.000
Si1 0.000 0.500 0.500
O1 0.500 0.500 0.500
# - Density: 3.33 Mg/m³
# - DOS at the Fermi energy: 0.373 states/eV per atom
# - V: 72 Å³/cell

The relative energies come out as *1* 1.696; *2* 0.000, with values in eV/atom.

*1*
# Sc4Si2O | Alexandria via LeMat-Bulk | PBE | optimized geometry
data_Sc4Si2O
_chemical_formula_sum 'Sc8 Si4 O2'
_cell_length_a 4.152
_cell_length_b 4.152
_cell_length_c 14.620
_cell_angle_alpha 90.00
_cell_angle_beta 90.00
_cell_angle_gamma 90.00
_symmetry_space_group_name_H-M 'I 4/m m m'
_symmetry_Int_Tables_number 139
_symmetry_space_group_name_Hall '-I 4 2'
loop_
_atom_site_label
_atom_site_fract_x
_atom_site_fract_y
_atom_site_fract_z
Sc1 0.000 0.000 0.173
Sc2 0.000 0.500 0.000
Si1 0.000 0.000 0.362
O1 0.000 0.000 0.000
# - Density: 3.32 Mg/m³
# - DOS at the Fermi energy: 1.108 states/eV per atom
# - V: 252 Å³/cell

*2*
# Sc4Si2O | Alexandria via LeMat-Bulk | PBE | optimized geometry
data_Sc4Si2O
_chemical_formula_sum 'Sc8 Si4 O2'
_cell_length_a 6.776
_cell_length_b 10.490
_cell_length_c 3.625
_cell_angle_alpha 90.00
_cell_angle_beta 90.00
_cell_angle_gamma 90.00
_symmetry_space_group_name_H-M 'P b a m'
_symmetry_Int_Tables_number 55
_symmetry_space_group_name_Hall '-P 2 2ab'
loop_
_atom_site_label
_atom_site_fract_x
_atom_site_fract_y
_atom_site_fract_z
Sc1 0.115 0.191 0.000
Sc2 0.221 0.941 0.500
Si1 0.093 0.678 0.500
O1 0.000 0.000 0.000
# - Density: 3.25 Mg/m³
# - DOS at the Fermi energy: 0.774 states/eV per atom
# - V: 258 Å³/cell

The relative energies come out as *1* 0.000; *2* 0.141, with values in eV/atom.